The following is a DFT calculation (SCAN) of a PBEsol-optimized structure of Ag12Br17.

density	4.1	g cm⁻³
uncorrected formation energy	-0.212	eV per atom

Unit cell a=11.1730 b=11.1730 c=11.1730 alpha=109.47 beta=109.47 gamma=109.47
With the nearest neighbours (Å) after each atom.
Sites, in units of the cell vectors:
Ag1 0.4509 0.6193 0.6193  4 Br 2.60-2.68
Ag2 0.5491 0.1684 0.1684  4 Br 2.60-2.68
Ag3 0.0000 0.8316 0.3807  4 Br 2.60-2.68
Ag4 0.0000 0.3807 0.8316  4 Br 2.60-2.68
Ag5 0.6193 0.4509 0.6193  4 Br 2.60-2.68
Ag6 0.1684 0.5491 0.1684  4 Br 2.60-2.68
Ag7 0.3807 0.0000 0.8316  4 Br 2.60-2.68
Ag8 0.8316 0.0000 0.3807  4 Br 2.60-2.68
Ag9 0.6193 0.6193 0.4509  4 Br 2.60-2.68
Ag10 0.1684 0.1684 0.5491  4 Br 2.60-2.68
Ag11 0.8316 0.3807 0.0000  4 Br 2.60-2.68
Ag12 0.3807 0.8316 0.0000  4 Br 2.60-2.68
Br1 0.6967 0.4210 0.4210  3 Ag 2.60-2.67
Br2 0.3033 0.7243 0.7243  3 Ag 2.60-2.67
Br3 0.0000 0.2757 0.5790  3 Ag 2.60-2.67
Br4 0.0000 0.5790 0.2757  3 Ag 2.60-2.67
Br5 0.4210 0.6967 0.4210  3 Ag 2.60-2.67
Br6 0.7243 0.3033 0.7243  3 Ag 2.60-2.67
Br7 0.5790 0.0000 0.2757  3 Ag 2.60-2.67
Br8 0.2757 0.0000 0.5790  3 Ag 2.60-2.67
Br9 0.4210 0.4210 0.6967  3 Ag 2.60-2.67
Br10 0.7243 0.7243 0.3033  3 Ag 2.60-2.67
Br11 0.2757 0.5790 0.0000  3 Ag 2.60-2.67
Br12 0.5790 0.2757 0.0000  3 Ag 2.60-2.67
Br13 0.7425 0.7425 0.7425  3 Ag 2.68, 1 Br 2.88
Br14 0.2575 0.0000 0.0000  3 Ag 2.68, 1 Br 2.88
Br15 0.0000 0.0000 0.2575  3 Ag 2.68, 1 Br 2.88
Br16 0.0000 0.2575 0.0000  3 Ag 2.68, 1 Br 2.88
Br17 0.0000 0.0000 0.0000  4 Br 2.88